# 1
{"formula": "SrCaHgRu2", "functional": "SCAN", "state": "PBEsol geometry", "cell": [[-4.9342, -0.5751, 1.0585], [0.8370, -4.8465, 1.2682], [0.8838, 1.4347, 4.8992]], "species": ["Hg", "Ca", "Ru", "Ru", "Sr"], "frac_coords": [[0.0000, 0.0000, 0.0000], [0.0000, 0.0000, 0.5000], [0.0000, 0.5000, 0.0000], [0.5000, 0.0000, 0.0000], [0.5000, 0.5000, 0.5000]], "spacegroup": "P4/mmm (123)", "rho_kg_m3": 6590, "vol_a3_per_cell": 134, "e_form_ev_per_atom": 0.96}

---

# 2
{"formula": "KBaOs2", "functional": "SCAN", "state": "PBEsol geometry", "cell": [[-1.7259, -0.7373, -2.2199], [-1.7308, -2.3256, 0.2147], [-9.4208, 5.5257, 3.5857]], "species": ["Os", "Os", "Ba", "K"], "frac_coords": [[0.2506, 0.2506, 0.2481], [0.7494, 0.7494, 0.7519], [0.5000, 0.5000, 0.5000], [0.0000, 0.0000, 0.0000]], "spacegroup": "R-3m (166)", "rho_kg_m3": 11112, "vol_a3_per_cell": 83, "e_form_ev_per_atom": 1.67, "de_polymorph_ev_per_atom": 0.415}